Run one
{
  "formula": "SnB3W",
  "functional": "PBE",
  "state": "optimized geometry",
  "crystal_system": "cubic",
  "sg": "No. 221",
  "cell": [[4.286, 0.000, 0.000], [0.000, 4.286, 0.000], [0.000, 0.000, 4.286]],
  "species": ["W", "B", "B", "B", "Sn"],
  "fractional_positions": [[0.000, 0.000, 0.000], [0.000, 0.000, 0.500], [0.500, 0.000, 0.000], [0.000, 0.500, 0.000], [0.500, 0.500, 0.500]]
}

***

Run two
{
  "formula": "SnB3W",
  "functional": "PBE",
  "state": "optimized geometry",
  "crystal_system": "cubic",
  "sg": "No. 221",
  "cell": [[-3.749, -1.513, 1.385], [1.566, -0.247, 3.969], [-1.325, 3.989, 0.771]],
  "species": ["B", "B", "B", "W", "Sn"],
  "fractional_positions": [[0.500, 0.000, 0.000], [0.000, 0.500, 0.000], [0.000, 0.000, 0.500], [0.500, 0.500, 0.500], [0.000, 0.000, 0.000]]
}

***

Which structure loses on stability? run two does.